Computed, not measured: crystalline PaGaNi4 at its relaxed geometry at the PBE level of DFT.

Calculated values
Its energy is -6.264 eV/atom. The value obtained for the total magnetization is 0.00 μB per atom.

Cell lengths 4.911, 4.911, 4.911 Å; angles 60.00, 60.00, 60.00 degrees
Fractional coordinates of all 6 atoms:
Pa1 0.000 0.000 0.000
Ga1 0.250 0.250 0.250
Ni1 0.129 0.624 0.624
Ni2 0.624 0.129 0.624
Ni3 0.624 0.624 0.129
Ni4 0.624 0.624 0.624



Computed, not measured: crystalline Pa2Ga5Ni5 at its relaxed geometry at the PBE level of DFT.

Calculated values
Its energy is -5.666 eV/atom. The value obtained for the total magnetization is 0.01 μB per atom.

Cell lengths 4.131, 5.107, 8.718 Å; angles 90.00, 90.00, 90.00 degrees
Fractional coordinates of all 12 atoms:
Pa1 0.000 0.000 0.000
Pa2 0.000 0.500 0.500
Ga1 0.500 0.000 0.500
Ga2 0.500 0.250 0.237
Ga3 0.500 0.250 0.763
Ga4 0.500 0.750 0.237
Ga5 0.500 0.750 0.763
Ni1 0.000 0.000 0.337
Ni2 0.000 0.000 0.663
Ni3 0.000 0.500 0.171
Ni4 0.000 0.500 0.829
Ni5 0.500 0.500 0.000



Computed, not measured: crystalline GaNiPb at its relaxed geometry at the PBE level of DFT.

Calculated values
Its energy is -4.130 eV/atom. The value obtained for the total magnetization is 0.00 μB per atom.

Cell lengths 4.360, 4.360, 4.360 Å; angles 60.00, 60.00, 60.00 degrees
Fractional coordinates of all 3 atoms:
Ga1 0.000 0.000 0.000
Ni1 0.250 0.250 0.250
Pb1 0.500 0.500 0.500



Computed, not measured: crystalline Ga4Ni4Pb3 at its relaxed geometry at the PBE level of DFT.

Calculated values
Its energy is -4.190 eV/atom. The value obtained for the total magnetization is 0.00 μB per atom.

Cell lengths 6.443, 6.443, 6.443 Å; angles 109.47, 109.47, 109.47 degrees
Fractional coordinates of all 11 atoms:
Ga1 0.000 0.000 0.607
Ga2 0.000 0.607 0.000
Ga3 0.393 0.393 0.393
Ga4 0.607 0.000 0.000
Ni1 0.000 0.000 0.243
Ni2 0.000 0.243 0.000
Ni3 0.243 0.000 0.000
Ni4 0.757 0.757 0.757
Pb1 0.000 0.500 0.500
Pb2 0.500 0.000 0.500
Pb3 0.500 0.500 0.000



Computed, not measured: crystalline GaNiPb at its relaxed geometry at the PBE level of DFT.

Calculated values
Its energy is -3.643 eV/atom. The value obtained for the total magnetization is 0.01 μB per atom.

Cell lengths 4.540, 4.540, 4.540 Å; angles 60.00, 60.00, 60.00 degrees
Fractional coordinates of all 3 atoms:
Ga1 0.000 0.000 0.000
Ni1 0.500 0.500 0.500
Pb1 0.250 0.250 0.250



Computed, not measured: crystalline Ga3Ni2Pb at its relaxed geometry at the PBE level of DFT.

Calculated values
Its energy is -4.172 eV/atom. The value obtained for the total magnetization is 0.00 μB per atom.

Cell lengths 6.415, 6.415, 5.194 Å; angles 90.00, 90.00, 75.70 degrees
Fractional coordinates of all 12 atoms:
Ga1 0.041 0.959 0.750
Ga2 0.073 0.526 0.750
Ga3 0.474 0.927 0.750
Ga4 0.526 0.073 0.250
Ga5 0.927 0.474 0.250
Ga6 0.959 0.041 0.250
Ni1 0.202 0.202 0.000
Ni2 0.202 0.202 0.500
Ni3 0.798 0.798 0.000
Ni4 0.798 0.798 0.500
Pb1 0.374 0.626 0.250
Pb2 0.626 0.374 0.750



Computed, not measured: crystalline Ga2NiPb2 at its relaxed geometry at the PBE level of DFT.

Calculated values
Its energy is -3.369 eV/atom. The value obtained for the total magnetization is 0.00 μB per atom.

Cell lengths 9.703, 7.559, 7.335 Å; angles 81.29, 50.36, 48.35 degrees
Fractional coordinates of all 10 atoms:
Ga1 0.048 0.702 0.048
Ga2 0.298 0.952 0.298
Ga3 0.702 0.048 0.702
Ga4 0.952 0.298 0.952
Ni1 0.375 0.375 0.375
Ni2 0.625 0.625 0.625
Pb1 0.000 0.500 0.500
Pb2 0.500 0.000 0.500
Pb3 0.500 0.500 0.000
Pb4 0.500 0.500 0.500



Computed, not measured: crystalline Ga2NiPd at its relaxed geometry at the PBE level of DFT.

Calculated values
Its energy is -4.710 eV/atom. The value obtained for the total magnetization is 0.00 μB per atom.

Cell lengths 4.823, 4.825, 4.827 Å; angles 90.00, 90.84, 90.00 degrees
Fractional coordinates of all 8 atoms:
Ga1 0.090 0.000 0.170
Ga2 0.400 0.189 0.647
Ga3 0.600 0.689 0.353
Ga4 0.910 0.500 0.830
Ni1 0.107 0.490 0.359
Ni2 0.893 0.990 0.641
Pd1 0.390 0.708 0.858
Pd2 0.610 0.208 0.142



Computed, not measured: crystalline GaNiPd at its relaxed geometry at the PBE level of DFT.

Calculated values
Its energy is -5.059 eV/atom. The value obtained for the total magnetization is 0.00 μB per atom.

Cell lengths 5.695, 3.847, 7.457 Å; angles 90.00, 90.00, 90.00 degrees
Fractional coordinates of all 12 atoms:
Ga1 0.234 0.250 0.122
Ga2 0.266 0.750 0.622
Ga3 0.734 0.250 0.378
Ga4 0.766 0.750 0.878
Ni1 0.148 0.250 0.443
Ni2 0.352 0.750 0.943
Ni3 0.648 0.250 0.057
Ni4 0.852 0.750 0.557
Pd1 0.050 0.250 0.805
Pd2 0.450 0.750 0.305
Pd3 0.550 0.250 0.695
Pd4 0.950 0.750 0.195



Computed, not measured: crystalline GaNiPd at its relaxed geometry at the PBE level of DFT.

Calculated values
Its energy is -4.671 eV/atom. The value obtained for the total magnetization is 0.00 μB per atom.

Cell lengths 4.105, 4.105, 4.105 Å; angles 60.00, 60.00, 60.00 degrees
Fractional coordinates of all 3 atoms:
Ga1 0.000 0.000 0.000
Ni1 0.500 0.500 0.500
Pd1 0.250 0.250 0.250



Computed, not measured: crystalline Ga2NiPd at its relaxed geometry at the PBE level of DFT.

Calculated values
Its energy is -4.421 eV/atom. The value obtained for the total magnetization is 0.00 μB per atom.

Cell lengths 4.309, 4.309, 4.309 Å; angles 60.00, 60.00, 60.00 degrees
Fractional coordinates of all 4 atoms:
Ga1 0.000 0.000 0.000
Ga2 0.250 0.250 0.250
Ni1 0.750 0.750 0.750
Pd1 0.500 0.500 0.500



Computed, not measured: crystalline PrGa2NiPd at its relaxed geometry at the PBE level of DFT.

Calculated values
Its energy is -5.011 eV/atom. The value obtained for the total magnetization is 0.00 μB per atom.

Cell lengths 4.234, 4.234, 10.202 Å; angles 90.00, 90.00, 90.00 degrees
Fractional coordinates of all 10 atoms:
Pr1 0.250 0.250 0.239
Pr2 0.750 0.750 0.761
Ga1 0.250 0.250 0.644
Ga2 0.250 0.750 0.000
Ga3 0.750 0.250 0.000
Ga4 0.750 0.750 0.356
Ni1 0.250 0.250 0.877
Ni2 0.750 0.750 0.123
Pd1 0.250 0.750 0.500
Pd2 0.750 0.250 0.500



energy of number 8 (Ga2NiPd)? -4.710 eV/atom



What is the formula in the fourth record? Ga4Ni4Pb3



Copy entry 5 word for word.
Computed, not measured: crystalline GaNiPb at its relaxed geometry at the PBE level of DFT.

Calculated values
Its energy is -3.643 eV/atom. The value obtained for the total magnetization is 0.01 μB per atom.

Cell lengths 4.540, 4.540, 4.540 Å; angles 60.00, 60.00, 60.00 degrees
Fractional coordinates of all 3 atoms:
Ga1 0.000 0.000 0.000
Ni1 0.500 0.500 0.500
Pb1 0.250 0.250 0.250



Copy entry 1 word for word.
Computed, not measured: crystalline PaGaNi4 at its relaxed geometry at the PBE level of DFT.

Calculated values
Its energy is -6.264 eV/atom. The value obtained for the total magnetization is 0.00 μB per atom.

Cell lengths 4.911, 4.911, 4.911 Å; angles 60.00, 60.00, 60.00 degrees
Fractional coordinates of all 6 atoms:
Pa1 0.000 0.000 0.000
Ga1 0.250 0.250 0.250
Ni1 0.129 0.624 0.624
Ni2 0.624 0.129 0.624
Ni3 0.624 0.624 0.129
Ni4 0.624 0.624 0.624